NdPuIrPt | PBE-GGA | optimized geometry

It has space group F-43m (No. 216), with a = 7.047 Å, b = 7.047 Å, c = 7.047 Å, α = 90.00°, β = 90.00° and γ = 90.00°. The distinct sites, in fractional coordinates, are Nd at (0.000, 0.000, 0.000), Pu at (0.000, 0.000, 0.500), Ir at (0.250, 0.250, 0.750) and Pt at (0.250, 0.250, 0.250).

The calculation puts the volume at 21.87 A^3/atom. The energy of formation from the pure elements comes out at -0.659 eV/atom. Its density is 14.720 g/cm³.